{"formula": "RbScPb", "functional": "PBE", "state": "relaxed", "total_magnetization_mub_per_fu": 0.00, "spacegroup": "No. 8", "vol_a3_per_cell": 240, "polymorph_energy_kj_per_mol_fu": 77, "cell": [[-3.096, -15.588, -0.188], [2.168, -5.513, 2.300], [-2.190, 5.461, 2.401]], "species": ["Sc", "Sc", "Pb", "Pb", "Rb", "Rb"], "frac_coords": [[0.649, 0.581, 0.419], [0.565, 0.356, 0.644], [0.362, 0.049, 0.951], [0.647, 0.924, 0.076], [0.990, 0.928, 0.072], [0.223, 0.930, 0.070]]}



{"formula": "KMn3Bi", "functional": "PBE", "state": "relaxed", "total_magnetization_mub_per_fu": 11.15, "spacegroup": "No. 221", "vol_a3_per_cell": 151, "polymorph_energy_kj_per_mol_fu": 0, "cell": [[-2.134, 4.813, -0.797], [0.051, -0.848, -5.257], [-4.878, -2.115, 0.294]], "species": ["Mn", "Mn", "Mn", "Bi", "K"], "frac_coords": [[0.000, 0.000, 0.500], [0.000, 0.500, 0.000], [0.500, 0.000, 0.000], [0.000, 0.000, 0.000], [0.500, 0.500, 0.500]]}



{"formula": "TcHg", "functional": "PBE", "state": "relaxed", "total_magnetization_mub_per_fu": 0.00, "spacegroup": "No. 123", "vol_a3_per_cell": 69, "polymorph_energy_kj_per_mol_fu": 120, "cell": [[4.627, 0.000, 0.000], [0.000, 4.627, 0.000], [0.000, 0.000, 3.237]], "species": ["Tc", "Tc", "Hg", "Hg"], "frac_coords": [[0.750, 0.750, 0.500], [0.250, 0.250, 0.500], [0.750, 0.250, 0.000], [0.250, 0.750, 0.000]]}



{"formula": "KSrBr2", "functional": "PBE", "state": "relaxed", "raw_formation_energy_ev_per_fu": -6.1, "total_magnetization_mub_per_fu": 0.85, "spacegroup": "No. 160", "vol_a3_per_cell": 143, "polymorph_energy_kj_per_mol_fu": 4, "cell": [[4.388, 0.000, 0.000], [2.194, 3.800, 0.000], [2.194, 1.267, 8.586]], "species": ["Br", "Br", "Sr", "K"], "frac_coords": [[0.083, 0.083, 0.752], [0.250, 0.250, 0.250], [0.499, 0.499, 0.503], [0.668, 0.668, 0.995]]}



{"formula": "LaNdLu", "functional": "PBE", "state": "relaxed", "total_magnetization_mub_per_fu": 0.00, "spacegroup": "No. 156", "vol_a3_per_cell": 101, "polymorph_energy_kj_per_mol_fu": 8, "cell": [[3.522, 0.000, 0.000], [0.000, 5.755, 0.000], [0.000, -2.878, 4.984]], "species": ["Nd", "La", "Lu"], "frac_coords": [[0.167, 0.000, 0.000], [0.667, 0.667, 0.333], [0.166, 0.333, 0.667]]}



{"formula": "LiPdCl2", "functional": "PBE", "state": "relaxed", "raw_formation_energy_ev_per_fu": -3.2, "total_magnetization_mub_per_fu": 1.00, "spacegroup": "No. 122", "vol_a3_per_cell": 180, "polymorph_energy_kj_per_mol_fu": 17, "cell": [[-0.527, 1.658, 5.423], [-5.665, -0.398, -0.429], [-2.849, -4.664, 4.139]], "species": ["Cl", "Cl", "Cl", "Cl", "Li", "Li", "Pd", "Pd"], "frac_coords": [[0.145, 0.625, 0.250], [0.605, 0.125, 0.250], [0.875, 0.855, 0.750], [0.375, 0.395, 0.750], [0.500, 0.500, 0.000], [0.250, 0.750, 0.500], [0.750, 0.250, 0.500], [0.000, 0.000, 0.000]]}



{"formula": "Zr3OsRh2", "functional": "PBE", "state": "relaxed", "total_magnetization_mub_per_fu": 0.00, "spacegroup": "No. 164", "vol_a3_per_cell": 108, "polymorph_energy_kj_per_mol_fu": 0, "cell": [[4.666, 0.000, 0.000], [-2.333, 4.041, 0.000], [0.000, 0.000, 5.708]], "species": ["Zr", "Zr", "Zr", "Rh", "Rh", "Os"], "frac_coords": [[0.000, 0.000, 0.500], [0.667, 0.333, 0.839], [0.333, 0.667, 0.161], [0.333, 0.667, 0.658], [0.667, 0.333, 0.342], [0.000, 0.000, 0.000]]}



{"formula": "ZrBe8Ir3", "functional": "PBE", "state": "relaxed", "total_magnetization_mub_per_fu": 0.00, "spacegroup": "No. 156", "vol_a3_per_cell": 126, "final_energy_ev_per_cell": -70.622, "cell": [[-1.845, -3.684, 1.686], [0.640, 0.360, -4.390], [6.687, -3.015, 0.728]], "species": ["Be", "Be", "Be", "Be", "Be", "Be", "Be", "Be", "Zr", "Ir", "Ir", "Ir"], "frac_coords": [[0.503, 0.006, 0.770], [0.503, 0.497, 0.770], [0.333, 0.667, 0.004], [0.333, 0.667, 0.488], [0.166, 0.834, 0.236], [0.166, 0.331, 0.236], [0.994, 0.497, 0.770], [0.669, 0.834, 0.236], [0.000, 0.000, 0.560], [0.000, 0.000, 0.922], [0.667, 0.333, 0.443], [0.667, 0.333, 0.066]]}



{"formula": "CuRe2P", "functional": "PBE", "state": "relaxed", "total_magnetization_mub_per_fu": 0.00, "spacegroup": "No. 166", "vol_a3_per_cell": 55, "final_energy_ev_per_cell": -33.695, "cell": [[-0.253, -4.081, 7.102], [1.948, -5.356, 5.888], [2.316, -2.939, 7.290]], "species": ["Re", "Re", "Cu", "P"], "frac_coords": [[0.494, 0.494, 0.494], [0.006, 0.006, 0.006], [0.250, 0.250, 0.250], [0.750, 0.750, 0.750]]}



{"formula": "HfZn3Cu4", "functional": "PBE", "state": "relaxed", "total_magnetization_mub_per_fu": 0.00, "spacegroup": "No. 51", "vol_a3_per_cell": 226, "final_energy_ev_per_cell": -61.667, "cell": [[-2.003, -3.646, -1.043], [4.576, -1.417, -3.834], [4.073, -4.057, 6.361]], "species": ["Zn", "Zn", "Zn", "Zn", "Zn", "Zn", "Cu", "Cu", "Cu", "Cu", "Cu", "Cu", "Cu", "Cu", "Hf", "Hf"], "frac_coords": [[0.000, 0.000, 0.500], [0.508, 0.500, 0.750], [0.492, 0.500, 0.250], [0.516, 0.000, 0.750], [0.484, 0.000, 0.250], [0.000, 0.000, 0.000], [0.500, 0.767, 0.000], [0.500, 0.767, 0.500], [0.500, 0.233, 0.000], [0.015, 0.767, 0.750], [0.985, 0.233, 0.250], [0.500, 0.233, 0.500], [0.015, 0.233, 0.750], [0.985, 0.767, 0.250], [0.000, 0.500, 0.500], [0.000, 0.500, 0.000]]}



{"formula": "Ac8AgGe3Te4", "functional": "PBE", "state": "relaxed", "raw_formation_energy_ev_per_fu": -17.6, "total_magnetization_mub_per_fu": 0.00, "spacegroup": "No. 166", "vol_a3_per_cell": 586, "cell": [[-2.353, 8.428, -3.229], [-9.003, -2.802, -0.754], [4.394, -0.797, 8.187]], "species": ["Ac", "Ac", "Ac", "Ac", "Ac", "Ac", "Ac", "Ac", "Te", "Te", "Te", "Te", "Ge", "Ge", "Ge", "Ag"], "frac_coords": [[0.733, 0.730, 0.981], [0.248, 0.730, 0.497], [0.267, 0.270, 0.019], [0.248, 0.730, 0.981], [0.752, 0.270, 0.503], [0.258, 0.275, 0.517], [0.752, 0.270, 0.019], [0.742, 0.725, 0.483], [0.000, 0.000, 0.500], [0.000, 0.000, 0.000], [0.500, 0.000, 0.500], [0.500, 0.000, 0.000], [0.500, 0.500, 0.500], [0.500, 0.500, 0.000], [0.000, 0.500, 0.500], [0.000, 0.500, 0.000]]}



{"formula": "Hg2AsI2", "functional": "PBE", "state": "relaxed", "raw_formation_energy_ev_per_fu": -0.1, "total_magnetization_mub_per_fu": 0.00, "spacegroup": "No. 12", "vol_a3_per_cell": 388, "cell": [[-2.578, -6.794, -0.261], [1.226, -4.068, -7.509], [5.275, -5.909, 0.445]], "species": ["I", "I", "I", "I", "As", "As", "Hg", "Hg", "Hg", "Hg"], "frac_coords": [[0.048, 0.692, 0.211], [0.328, 0.737, 0.608], [0.672, 0.263, 0.392], [0.952, 0.308, 0.789], [0.602, 0.895, 0.900], [0.398, 0.105, 0.100], [0.172, 0.253, 0.404], [0.612, 0.607, 0.169], [0.388, 0.393, 0.831], [0.828, 0.747, 0.596]]}



{"formula": "NaZn2Cr2", "functional": "PBE", "state": "relaxed", "total_magnetization_mub_per_fu": 0.00, "spacegroup": "No. 127", "vol_a3_per_cell": 154, "final_energy_ev_per_cell": -42.438, "cell": [[7.789, 0.000, 0.000], [0.000, 7.789, 0.000], [0.000, 0.000, 2.536]], "species": ["Cr", "Cr", "Cr", "Cr", "Na", "Na", "Zn", "Zn", "Zn", "Zn"], "frac_coords": [[0.403, 0.903, 0.000], [0.597, 0.097, 0.000], [0.097, 0.403, 0.000], [0.903, 0.597, 0.000], [0.500, 0.500, 0.000], [0.000, 0.000, 0.000], [0.692, 0.808, 0.500], [0.808, 0.308, 0.500], [0.192, 0.692, 0.500], [0.308, 0.192, 0.500]]}



{"formula": "NaTi3Cl", "functional": "PBE", "state": "relaxed", "raw_formation_energy_ev_per_fu": 1.6, "total_magnetization_mub_per_fu": 0.00, "spacegroup": "No. 221", "vol_a3_per_cell": 97, "polymorph_energy_kj_per_mol_fu": 0, "cell": [[-3.501, 2.963, 0.167], [-1.434, -1.915, 3.917], [2.598, 2.935, 2.387]], "species": ["Ti", "Ti", "Ti", "Cl", "Na"], "frac_coords": [[0.000, 0.500, 0.000], [0.500, 0.000, 0.000], [0.000, 0.000, 0.500], [0.000, 0.000, 0.000], [0.500, 0.500, 0.500]]}



{"formula": "VNi7Pd12", "functional": "PBE", "state": "relaxed", "total_magnetization_mub_per_fu": 5.65, "spacegroup": "No. 148", "vol_a3_per_cell": 280, "final_energy_ev_per_cell": -111.748, "cell": [[6.779, 0.141, 0.212], [-1.749, 6.551, 0.212], [-1.749, -2.327, 6.127]], "species": ["Ni", "Ni", "Ni", "Ni", "Ni", "Ni", "Ni", "Pd", "Pd", "Pd", "Pd", "Pd", "Pd", "Pd", "Pd", "Pd", "Pd", "Pd", "Pd", "V"], "frac_coords": [[0.912, 0.313, 0.917], [0.088, 0.687, 0.083], [0.083, 0.088, 0.687], [0.917, 0.912, 0.313], [0.500, 0.500, 0.500], [0.313, 0.917, 0.912], [0.687, 0.083, 0.088], [0.504, 0.765, 0.238], [0.076, 0.325, 0.330], [0.924, 0.675, 0.670], [0.496, 0.235, 0.762], [0.235, 0.762, 0.496], [0.325, 0.330, 0.076], [0.670, 0.924, 0.675], [0.675, 0.670, 0.924], [0.330, 0.076, 0.325], [0.238, 0.504, 0.765], [0.765, 0.238, 0.504], [0.762, 0.496, 0.235], [0.000, 0.000, 0.000]]}



{"formula": "Nd8Ni2Ag", "functional": "PBE", "state": "relaxed", "total_magnetization_mub_per_fu": 0.00, "spacegroup": "No. 12", "vol_a3_per_cell": 322, "final_energy_ev_per_cell": -53.088, "cell": [[5.747, -0.074, -0.111], [-1.048, 7.959, -0.332], [-1.048, -3.372, 7.217]], "species": ["Nd", "Nd", "Nd", "Nd", "Nd", "Nd", "Nd", "Nd", "Ni", "Ni", "Ag"], "frac_coords": [[0.689, 0.387, 0.387], [0.311, 0.613, 0.613], [0.079, 0.084, 0.337], [0.500, 0.240, 0.760], [0.921, 0.663, 0.916], [0.921, 0.916, 0.663], [0.500, 0.760, 0.240], [0.079, 0.337, 0.084], [0.000, 0.704, 0.296], [0.000, 0.296, 0.704], [0.500, 0.000, 0.000]]}



{"formula": "CaPr2HoHg4", "functional": "PBE", "state": "relaxed", "total_magnetization_mub_per_fu": 0.00, "spacegroup": "No. 166", "vol_a3_per_cell": 221, "final_energy_ev_per_cell": -21.412, "cell": [[5.389, 0.000, 0.000], [2.695, 4.667, 0.000], [2.695, 1.556, 8.776]], "species": ["Hg", "Hg", "Hg", "Hg", "Pr", "Pr", "Ca", "Ho"], "frac_coords": [[0.873, 0.873, 0.381], [0.377, 0.377, 0.869], [0.623, 0.623, 0.131], [0.127, 0.127, 0.619], [0.749, 0.749, 0.754], [0.251, 0.251, 0.246], [0.000, 0.000, 0.000], [0.500, 0.500, 0.500]]}



{"formula": "NaSnAu6", "functional": "PBE", "state": "relaxed", "total_magnetization_mub_per_fu": 0.00, "spacegroup": "No. 200", "vol_a3_per_cell": 157, "final_energy_ev_per_cell": -25.501, "cell": [[-4.899, -0.848, -2.107], [-2.027, -0.627, 4.966], [-1.024, 5.296, 0.251]], "species": ["Na", "Au", "Au", "Au", "Au", "Au", "Au", "Sn"], "frac_coords": [[0.500, 0.500, 0.500], [0.000, 0.500, 0.251], [0.000, 0.500, 0.749], [0.251, 0.000, 0.500], [0.500, 0.749, 0.000], [0.749, 0.000, 0.500], [0.500, 0.251, 0.000], [0.000, 0.000, 0.000]]}



{"formula": "Ca4TcSb", "functional": "PBE", "state": "relaxed", "raw_formation_energy_ev_per_fu": 4.2, "total_magnetization_mub_per_fu": 2.07, "spacegroup": "No. 216", "vol_a3_per_cell": 176, "cell": [[0.000, 4.451, 4.451], [4.451, 0.000, 4.451], [4.451, 4.451, 0.000]], "species": ["Ca", "Ca", "Ca", "Ca", "Sb", "Tc"], "frac_coords": [[0.877, 0.374, 0.374], [0.374, 0.877, 0.374], [0.374, 0.374, 0.877], [0.374, 0.374, 0.374], [0.750, 0.750, 0.750], [0.000, 0.000, 0.000]]}



{"formula": "PuThSn4", "functional": "PBE", "state": "relaxed", "total_magnetization_mub_per_fu": 6.62, "spacegroup": "No. 216", "vol_a3_per_cell": 162, "final_energy_ev_per_cell": -38.896, "cell": [[-2.936, -4.198, 3.354], [-0.992, -5.594, -2.282], [3.055, -4.808, 2.245]], "species": ["Pu", "Sn", "Sn", "Sn", "Sn", "Th"], "frac_coords": [[0.000, 0.000, 0.000], [0.625, 0.124, 0.625], [0.625, 0.625, 0.124], [0.124, 0.625, 0.625], [0.625, 0.625, 0.625], [0.250, 0.250, 0.250]]}